Below is Mn2InHg2 after structural relaxation, with properties calculated at the PBE level.

The calculation puts the relative energy among the computed polymorphs at 0 meV/atom. Its symmetry is P4/mbm (127). For the total DFT energy (no corrections), the calculation gives -4.006 eV per atom. As for the formation energy: 0.33 eV/atom. The density comes out at 10.43 g/cm3.

a = 7.309 Å, b = 7.309 Å, c = 3.731 Å
α = 90.00°, β = 90.00°, γ = 90.00°
Fractional positions:
Mn1 0.142 0.358 0.000
Mn2 0.358 0.858 0.000
Mn3 0.642 0.142 0.000
Mn4 0.858 0.642 0.000
In1 0.000 0.000 0.000
In2 0.500 0.500 0.000
Hg1 0.156 0.656 0.500
Hg2 0.344 0.156 0.500
Hg3 0.656 0.844 0.500
Hg4 0.844 0.344 0.500

---

Below is Er2PaWC4 after structural relaxation, with properties calculated at the PBE level.

Its symmetry is Cmcm (63). For the total DFT energy (no corrections), the calculation gives -8.644 eV per atom. As for the formation energy: -0.09 eV/atom. The density comes out at 10.63 g/cm3.

a = 6.172 Å, b = 6.172 Å, c = 12.215 Å
α = 90.00°, β = 90.00°, γ = 147.62°
Fractional positions:
Er1 0.130 0.870 0.537
Er2 0.130 0.870 0.963
Er3 0.870 0.130 0.037
Er4 0.870 0.130 0.463
Pa1 0.392 0.608 0.750
Pa2 0.608 0.392 0.250
W1 0.345 0.655 0.250
W2 0.655 0.345 0.750
C1 0.052 0.948 0.750
C2 0.233 0.767 0.133
C3 0.233 0.767 0.367
C4 0.500 0.500 0.000
C5 0.500 0.500 0.500
C6 0.767 0.233 0.633
C7 0.767 0.233 0.867
C8 0.948 0.052 0.250

---

Below is LaAs2Pb after structural relaxation, with properties calculated at the PBE level.

The calculation puts the relative energy among the computed polymorphs at 513 meV/atom. Its symmetry is R3m (160). For the total DFT energy (no corrections), the calculation gives -4.664 eV per atom. As for the formation energy: -0.18 eV/atom. The density comes out at 7.59 g/cm3.

a = 8.898 Å, b = 8.898 Å, c = 8.898 Å
α = 24.73°, β = 24.73°, γ = 24.73°
Fractional positions:
La1 0.000 0.000 0.000
As1 0.477 0.477 0.477
As2 0.754 0.754 0.754
Pb1 0.229 0.229 0.229

---

Below is BaCrCd2 after structural relaxation, with properties calculated at the PBE level.

Its symmetry is I-42d (122). For the total DFT energy (no corrections), the calculation gives -3.014 eV per atom. As for the formation energy: 0.33 eV/atom. The density comes out at 4.84 g/cm3.

a = 10.494 Å, b = 10.494 Å, c = 10.494 Å
α = 150.22°, β = 150.22°, γ = 42.61°
Fractional positions:
Ba1 0.000 0.000 0.000
Ba2 0.750 0.250 0.500
Cr1 0.250 0.750 0.500
Cr2 0.500 0.500 0.000
Cd1 0.316 0.625 0.191
Cd2 0.375 0.566 0.691
Cd3 0.434 0.125 0.809
Cd4 0.875 0.684 0.309

---

Number 3 is which compound? LaAs2Pb

---

Look up the total DFT energy (no corrections) of the second one. -8.644 eV per atom

---

The highest total DFT energy (no corrections) belongs to which entry? BaCrCd2

---

Among the records above, which one has the highest total DFT energy (no corrections)? BaCrCd2